No. 1
Material: LaNiSn
Method: DFT, PBE-GGA
State: optimized geometry

Structure (POSCAR):
```
LaNiSn
1.0
6.495 0.000 0.000
0.000 6.573 0.000
-4.899 0.000 6.690
La Ni Sn
4 4 4
direct
0.213 0.142 0.428 La
0.213 0.358 0.928 La
0.787 0.642 0.072 La
0.787 0.858 0.572 La
0.367 0.589 0.331 Ni
0.367 0.911 0.831 Ni
0.633 0.089 0.169 Ni
0.633 0.411 0.669 Ni
0.251 0.639 0.575 Sn
0.251 0.861 0.075 Sn
0.749 0.139 0.925 Sn
0.749 0.361 0.425 Sn
```

DOS(E_F): 0.819 states/eV per atom
total energy: -5.5210 eV per atom

No. 2
Material: ThAgS
Method: DFT, PBE-GGA
State: optimized geometry

Structure (POSCAR):
```
ThAgS
1.0
2.370 1.368 7.543
-2.370 1.368 7.543
0.000 -2.736 7.543
Th Ag S
2 2 2
direct
0.084 0.084 0.084 Th
0.916 0.916 0.916 Th
0.335 0.335 0.335 Ag
0.665 0.665 0.665 Ag
0.211 0.211 0.211 S
0.789 0.789 0.789 S
```

DOS(E_F): 0.410 states/eV per atom
formation energy without anion corrections: -0.9972 eV/atom

No. 3
Material: PtCN2O
Method: DFT, PBE-GGA
State: optimized geometry

Structure (POSCAR):
```
PtCN2O
1.0
3.797 0.000 0.000
0.000 3.797 0.000
0.000 0.000 4.174
Pt C N O
1 1 2 1
direct
0.000 0.000 0.000 Pt
0.500 0.500 0.500 C
0.000 0.500 0.000 N
0.500 0.000 0.000 N
0.000 0.000 0.500 O
```

DOS(E_F): 0.803 states/eV per atom
formation energy without anion corrections: 2.6001 eV/atom

No. 4
Material: HgAs2SeF
Method: DFT, PBE-GGA
State: optimized geometry

Structure (POSCAR):
```
HgAs2SeF
1.0
4.344 0.000 0.000
0.000 4.344 0.000
0.000 0.000 5.696
Hg As Se F
1 2 1 1
direct
0.000 0.000 0.000 Hg
0.000 0.500 0.500 As
0.500 0.000 0.500 As
0.500 0.500 0.000 Se
0.500 0.500 0.500 F
```

DOS(E_F): 0.473 states/eV per atom
formation energy without anion corrections: 0.3109 eV/atom
offset from the most stable computed form: 0.000 eV/atom

No. 5
Material: Na2InSb2
Method: DFT, PBE-GGA
State: optimized geometry

Structure (POSCAR):
```
Na2InSb2
1.0
8.999 0.000 0.000
0.000 8.999 0.000
0.000 0.000 3.495
Na In Sb
4 2 4
direct
0.179 0.321 0.000 Na
0.321 0.821 0.000 Na
0.679 0.179 0.000 Na
0.821 0.679 0.000 Na
0.000 0.000 0.500 In
0.500 0.500 0.500 In
0.117 0.617 0.500 Sb
0.383 0.117 0.500 Sb
0.617 0.883 0.500 Sb
0.883 0.383 0.500 Sb
```

DOS(E_F): 0.484 states/eV per atom
formation energy without anion corrections: -0.1452 eV/atom
offset from the most stable computed form: 0.138 eV/atom

Question: What is the formula in the fourth record?
Answer: HgAs2SeF

Question: DOS(E_F) of number 3 (PtCN2O)?
Answer: 0.803 states/eV per atom

Question: The lowest DOS(E_F) belongs to which entry?
Answer: ThAgS

Question: Number 5 is which compound?
Answer: Na2InSb2